(1)
Density functional theory data (GGA-PBE) for a relaxed MgH2 crystal.

Symmetry = No. 31
D(E_F) = 0.000 states/eV/atom
DFT total energy = -17.82 eV per cell

```
MgH2
1.0
-1.164 1.435 -2.368
2.367 -2.623 -2.753
-3.380 -2.930 -0.114
H Mg
4 2
direct
0.000 0.054 0.680
0.000 0.444 0.286
0.500 0.946 0.180
0.500 0.556 0.786
0.000 0.750 0.984
0.500 0.250 0.484
```

=====

(2)
Density functional theory data (GGA-PBE) for a relaxed K2NaAlH6 crystal.

Symmetry = No. 225
D(E_F) = 0.000 states/eV/atom
DFT total energy = -29.98 eV per cell

```
K2NaAlH6
1.0
5.679 0.000 0.000
2.840 4.918 0.000
2.840 1.639 4.637
H Al K Na
6 1 2 1
direct
0.220 0.220 0.780
0.220 0.780 0.220
0.780 0.220 0.780
0.780 0.780 0.220
0.220 0.780 0.780
0.780 0.220 0.220
0.000 0.000 0.000
0.250 0.250 0.250
0.750 0.750 0.750
0.500 0.500 0.500
```

=====

(3)
Density functional theory data (GGA-PBE) for a relaxed YLuGa2 crystal.

Symmetry = No. 123
D(E_F) = 0.447 states/eV/atom
ΔE to the lowest computed polymorph = 0.0 meV/atom

```
YLuGa2
1.0
-1.799 -2.843 1.106
2.301 -0.422 2.658
-3.996 4.131 4.116
Y Lu Ga
1 1 2
direct
0.500 0.500 0.500
0.500 0.500 0.000
0.000 0.000 0.759
0.000 0.000 0.241
```

=====

(4)
Density functional theory data (GGA-PBE) for a relaxed LiAc3La3Se8 crystal.

Symmetry = No. 166
D(E_F) = 0.325 states/eV/atom
Raw formation energy = -28.267 eV per formula unit

```
LiAc3La3Se8
1.0
-5.501 1.088 6.630
-1.519 -6.157 -5.935
6.611 -0.935 5.637
La Se Ac Li
3 8 3 1
direct
0.000 0.500 0.500
0.500 0.500 0.500
0.500 0.000 0.500
0.241 0.482 0.734
0.747 0.493 0.740
0.241 0.993 0.734
0.759 0.007 0.266
0.752 0.993 0.734
0.759 0.518 0.266
0.253 0.507 0.260
0.248 0.007 0.266
0.000 0.000 0.000
0.000 0.500 0.000
0.500 0.500 0.000
0.000 0.000 0.500
```

=====

(5)
Density functional theory data (GGA-PBE) for a relaxed Sr2FeBr crystal.

Symmetry = No. 12
D(E_F) = 1.932 states/eV/atom
Raw formation energy = -1.123 eV per formula unit
ΔE to the lowest computed polymorph = 18.5 meV/atom

```
Sr2FeBr
1.0
4.177 -0.061 0.051
2.130 3.593 0.051
2.014 1.128 8.614
Br Sr Fe
1 2 1
direct
0.750 0.750 0.750
0.507 0.507 0.479
0.993 0.993 0.021
0.250 0.250 0.250
```

=====

(6)
Density functional theory data (GGA-PBE) for a relaxed AlSn3Rh crystal.

Symmetry = No. 221
D(E_F) = 0.770 states/eV/atom
ΔE to the lowest computed polymorph = 671.6 meV/atom

```
AlSn3Rh
1.0
5.134 0.000 0.000
0.000 5.134 0.000
0.000 0.000 5.134
Sn Al Rh
3 1 1
direct
0.000 0.500 0.000
0.000 0.000 0.500
0.500 0.000 0.000
0.000 0.000 0.000
0.500 0.500 0.500
```

=====

(7)
Density functional theory data (GGA-PBE) for a relaxed SrTaO3 crystal.

Symmetry = No. 227
D(E_F) = 0.637 states/eV/atom
Raw formation energy = -13.655 eV per formula unit

```
SrTaO3
1.0
-1.570 -6.716 3.088
2.294 -1.555 7.030
-5.050 -0.497 5.599
O Ta Sr
12 4 4
direct
0.943 0.943 0.557
0.943 0.557 0.557
0.557 0.943 0.943
0.693 0.307 0.693
0.307 0.693 0.693
0.693 0.307 0.307
0.693 0.693 0.307
0.943 0.557 0.943
0.307 0.693 0.307
0.557 0.943 0.557
0.557 0.557 0.943
0.307 0.307 0.693
0.125 0.625 0.625
0.625 0.625 0.125
0.625 0.625 0.625
0.625 0.125 0.625
0.125 0.125 0.625
0.625 0.125 0.125
0.125 0.125 0.125
0.125 0.625 0.125
```

=====

(8)
Density functional theory data (GGA-PBE) for a relaxed HoMg2Ag crystal.

Symmetry = No. 123
D(E_F) = 0.595 states/eV/atom
DFT total energy = -11.08 eV per cell

```
HoMg2Ag
1.0
-2.807 2.253 3.351
-0.594 -3.787 2.048
3.519 0.765 2.433
Mg Ho Ag
2 1 1
direct
0.000 0.000 0.500
0.000 0.500 0.000
0.500 0.500 0.500
0.500 0.000 0.000
```

=====

(9)
Density functional theory data (GGA-PBE) for a relaxed Tl14SnPb crystal.

Symmetry = No. 38
D(E_F) = 0.386 states/eV/atom
DFT total energy = -40.73 eV per cell

```
Tl14SnPb
1.0
-3.496 4.794 3.706
-2.634 -6.475 0.300
6.365 -2.180 8.824
Tl Pb Sn
14 1 1
direct
0.910 0.090 0.248
0.593 0.407 0.000
0.406 0.594 0.254
0.903 0.586 0.254
0.085 0.405 0.500
0.096 0.904 0.000
0.595 0.915 0.500
0.903 0.586 0.746
0.910 0.090 0.752
0.406 0.594 0.746
0.594 0.905 0.000
0.095 0.406 0.000
0.414 0.097 0.254
0.414 0.097 0.746
0.089 0.911 0.500
0.586 0.414 0.500
```

=====

(10)
Density functional theory data (GGA-PBE) for a relaxed Cs2ErSnS4 crystal.

Symmetry = No. 70
D(E_F) = 0.578 states/eV/atom
Raw formation energy = -9.030 eV per formula unit

```
Cs2ErSnS4
1.0
-4.178 1.373 -5.130
1.707 -4.129 -6.944
-9.728 -8.707 1.143
Er S Cs Sn
2 8 4 2
direct
0.000 0.000 0.000
0.750 0.500 0.500
0.548 0.308 0.603
0.202 0.192 0.897
0.606 0.192 0.103
0.144 0.308 0.397
0.901 0.808 0.897
0.458 0.692 0.397
0.292 0.808 0.103
0.849 0.692 0.603
0.570 0.500 0.861
0.180 0.000 0.639
0.930 0.500 0.139
0.820 0.000 0.361
0.250 0.500 0.500
0.500 0.000 0.000
```

=====

(11)
Density functional theory data (GGA-PBE) for a relaxed SnBMo3 crystal.

Symmetry = No. 221
D(E_F) = 1.238 states/eV/atom
ΔE to the lowest computed polymorph = 2946.1 meV/atom

```
SnBMo3
1.0
4.883 0.000 0.000
0.000 4.883 0.000
0.000 0.000 4.883
Mo B Sn
3 1 1
direct
0.000 0.000 0.500
0.500 0.000 0.000
0.000 0.500 0.000
0.500 0.500 0.500
0.000 0.000 0.000
```

=====

(12)
Density functional theory data (GGA-PBE) for a relaxed CoP2 crystal.

Symmetry = No. 139
D(E_F) = 0.743 states/eV/atom
DFT total energy = -17.12 eV per cell

```
CoP2
1.0
-0.673 0.657 -4.159
-3.073 -2.396 -1.730
0.330 2.485 3.449
P Co
2 1
direct
0.665 0.665 0.000
0.335 0.335 0.000
0.000 0.000 0.000
```